Ba2Mg | PBE | relaxed

Calculated values
- DFT total energy: -1.720 eV/atom
- Calculated formation energy: 27 kJ/mol of formula units
- Volume: 54.05 Å³ per atom

a b c (Å): 6.230 6.230 4.177
angles (deg): 90.00 90.00 90.00
Element x y z (fractional)
Ba 0.000 0.500 0.000
Ba 0.500 0.000 0.000
Mg 0.000 0.000 0.500